# 1
Tl2SbAu after structural relaxation. Source: Alexandria via LeMat-Bulk, functional GGA-PBE.

abc: 4.4095 4.4095 5.4589
angles: 90.00 90.00 90.00
With the nearest neighbours (Å) after each atom.
Element x y z (fractional)
Tl1 0.0000 0.5000 0.0000  4 Tl 3.12
Tl2 0.5000 0.0000 0.0000  4 Tl 3.12
Sb1 0.0000 0.0000 0.5000  4 Au 3.12
Au1 0.5000 0.5000 0.5000  4 Sb 3.12

Results
Its polymorph energy (0 for the lowest one) is 0.152 eV per atom. Its formation energy from raw total energies is 28.9 kJ/mol of formula units. As for the electronic total energy: -11.83 eV/cell.

# 2
TlSb5Au4 after structural relaxation. Source: Alexandria via LeMat-Bulk, functional GGA-PBE.

abc: 8.4872 13.8026 4.8603
angles: 90.00 90.00 90.00
With the nearest neighbours (Å) after each atom.
Element x y z (fractional)
Tl1 0.2500 0.2500 0.1139  2 Au 3.14
Tl2 0.7500 0.7500 0.8861  2 Au 3.14
Sb1 0.0013 0.0731 0.7135  3 Au 2.72-2.74, 1 Sb 2.89
Sb2 0.0013 0.4269 0.7135  3 Au 2.72-2.74, 1 Sb 2.89
Sb3 0.2500 0.7500 0.9557  2 Au 2.72
Sb4 0.4987 0.0731 0.7135  3 Au 2.72-2.74, 1 Sb 2.89
Sb5 0.4987 0.4269 0.7135  3 Au 2.72-2.74, 1 Sb 2.89
Sb6 0.5013 0.5731 0.2865  3 Au 2.72-2.74, 1 Sb 2.89
Sb7 0.5013 0.9269 0.2865  3 Au 2.72-2.74, 1 Sb 2.89
Sb8 0.7500 0.2500 0.0443  2 Au 2.72
Sb9 0.9987 0.5731 0.2865  3 Au 2.72-2.74, 1 Sb 2.89
Sb10 0.9987 0.9269 0.2865  3 Au 2.72-2.74, 1 Sb 2.89
Au1 0.0526 0.7500 0.5140  3 Sb 2.72
Au2 0.2500 0.5018 0.0028  4 Sb 2.72-2.74
Au3 0.2500 0.9982 0.0028  4 Sb 2.72-2.74
Au4 0.4474 0.7500 0.5140  3 Sb 2.72
Au5 0.5526 0.2500 0.4860  3 Sb 2.72
Au6 0.7500 0.0018 0.9972  4 Sb 2.72-2.74
Au7 0.7500 0.4982 0.9972  4 Sb 2.72-2.74
Au8 0.9474 0.2500 0.4860  3 Sb 2.72

Results
Its formation energy from raw total energies is -14.1 kJ/mol of formula units. As for the electronic total energy: -72.47 eV/cell.

# 3
TlSb2Au after structural relaxation. Source: Alexandria via LeMat-Bulk, functional GGA-PBE.

abc: 6.0339 6.0339 5.8932
angles: 112.05 112.05 34.65
With the nearest neighbours (Å) after each atom.
Element x y z (fractional)
Tl1 0.0000 0.0000 0.0000  4 Au 3.45, 2 Tl 3.59, 8 Sb 3.62-3.72
Sb1 0.2092 0.2092 0.6670  2 Au 2.85, 2 Sb 3.07
Sb2 0.7908 0.7908 0.3330  2 Au 2.85, 2 Sb 3.07
Au1 0.5000 0.5000 0.5000  4 Sb 2.85

Results
Its polymorph energy (0 for the lowest one) is 0.102 eV per atom. Its formation energy from raw total energies is 15.7 kJ/mol of formula units. As for the electronic total energy: -13.73 eV/cell.

# 4
Tl5Sb2Au4 after structural relaxation. Source: Alexandria via LeMat-Bulk, functional GGA-PBE.

abc: 10.7961 10.7961 7.5861
angles: 109.41 109.41 22.20
With the nearest neighbours (Å) after each atom.
Element x y z (fractional)
Tl1 0.0000 0.0000 0.0000  4 Au 3.10
Tl2 0.3287 0.3287 0.0586  3 Au 2.96-3.13, 2 Sb 3.30
Tl3 0.3374 0.3374 0.6046  4 Au 2.89-3.02
Tl4 0.6626 0.6626 0.3954  4 Au 2.89-3.02
Tl5 0.6713 0.6713 0.9414  3 Au 2.96-3.13, 2 Sb 3.30
Sb1 0.0748 0.0748 0.6270  5 Au 2.85-3.06, 1 Sb 3.10
Sb2 0.9252 0.9252 0.3730  5 Au 2.85-3.06, 1 Sb 3.10
Au1 0.2157 0.2157 0.6979  1 Sb 2.85, 6 Tl 2.89-3.13
Au2 0.4819 0.4819 0.6829  3 Tl 2.91-3.10, 4 Sb 2.99-3.06, 1 Au 3.12
Au3 0.5181 0.5181 0.3171  3 Tl 2.91-3.10, 4 Sb 2.99-3.06, 1 Au 3.12
Au4 0.7843 0.7843 0.3021  1 Sb 2.85, 6 Tl 2.89-3.13

Results
Its formation energy from raw total energies is 50.3 kJ/mol of formula units. As for the electronic total energy: -32.66 eV/cell.

# 5
Tl6SbAu after structural relaxation. Source: Alexandria via LeMat-Bulk, functional GGA-PBE.

abc: 4.5635 7.3781 7.3781
angles: 76.72 90.00 90.00
With the nearest neighbours (Å) after each atom.
Element x y z (fractional)
Tl1 0.0000 0.0000 0.0000  2 Au 3.08, 4 Tl 3.40
Tl2 0.0000 0.0753 0.4697  2 Au 3.11
Tl3 0.0000 0.4697 0.0753  2 Au 3.11
Tl4 0.5000 0.2761 0.7258  2 Sb 3.17, 1 Au 3.25, 4 Tl 3.40-3.50
Tl5 0.5000 0.7258 0.2761  2 Sb 3.17, 1 Au 3.25, 4 Tl 3.40-3.50
Tl6 0.5000 0.7706 0.7706  2 Sb 3.27, 6 Tl 3.50-3.59
Sb1 0.0000 0.5676 0.5676  6 Tl 3.17-3.27
Au1 0.5000 0.1786 0.1786  8 Tl 3.08-3.25

Results
Its formation energy from raw total energies is -0.3 kJ/mol of formula units. As for the electronic total energy: -21.60 eV/cell.

# 6
TlSbAu3 after structural relaxation. Source: Alexandria via LeMat-Bulk, functional GGA-PBE.

abc: 5.3039 5.3039 5.3039
angles: 90.00 90.00 90.00
With the nearest neighbours (Å) after each atom.
Element x y z (fractional)
Tl1 0.0000 0.0000 0.0000  12 Au 3.75
Sb1 0.5000 0.5000 0.5000  6 Au 2.65
Au1 0.0000 0.5000 0.5000  2 Sb 2.65
Au2 0.5000 0.0000 0.5000  2 Sb 2.65
Au3 0.5000 0.5000 0.0000  2 Sb 2.65

Results
Its polymorph energy (0 for the lowest one) is 0.166 eV per atom. Its formation energy from raw total energies is 79.7 kJ/mol of formula units. As for the electronic total energy: -15.49 eV/cell.

# 7
TlSb2Au after structural relaxation. Source: Alexandria via LeMat-Bulk, functional GGA-PBE.

abc: 4.5107 4.5107 5.1183
angles: 90.00 90.00 90.00
With the nearest neighbours (Å) after each atom.
Element x y z (fractional)
Tl1 0.0000 0.0000 0.0000  4 Au 3.19, 8 Sb 3.41
Sb1 0.0000 0.5000 0.5000  4 Sb 3.19, 4 Tl 3.41, 4 Au 3.41
Sb2 0.5000 0.0000 0.5000  4 Sb 3.19, 4 Tl 3.41, 4 Au 3.41
Au1 0.5000 0.5000 0.0000  4 Tl 3.19, 8 Sb 3.41

Results
Its polymorph energy (0 for the lowest one) is 0.270 eV per atom. Its formation energy from raw total energies is 80.6 kJ/mol of formula units. As for the electronic total energy: -13.05 eV/cell.

# 8
Tl5Sb2Au5 after structural relaxation. Source: Alexandria via LeMat-Bulk, functional GGA-PBE.

abc: 6.7512 6.7512 11.7263
angles: 99.92 99.92 39.14
With the nearest neighbours (Å) after each atom.
Element x y z (fractional)
Tl1 0.0000 0.0000 0.0000  6 Au 3.45-3.48, 4 Tl 3.66
Tl2 0.1545 0.1545 0.5916  4 Au 3.06-3.36
Tl3 0.2750 0.2750 0.9030  5 Au 2.97-3.08
Tl4 0.7250 0.7250 0.0970  5 Au 2.97-3.08
Tl5 0.8455 0.8455 0.4084  4 Au 3.06-3.36
Sb1 0.4312 0.4312 0.7016  4 Au 2.67-2.75
Sb2 0.5688 0.5688 0.2984  4 Au 2.67-2.75
Au1 0.1796 0.1796 0.2593  2 Sb 2.75, 1 Au 2.96
Au2 0.3764 0.3764 0.1582  1 Sb 2.69, 1 Au 2.96, 2 Tl 2.97
Au3 0.5000 0.5000 0.5000  2 Sb 2.67
Au4 0.6236 0.6236 0.8418  1 Sb 2.69, 1 Au 2.96, 2 Tl 2.97
Au5 0.8204 0.8204 0.7407  2 Sb 2.75, 1 Au 2.96

Results
Its formation energy from raw total energies is -47.1 kJ/mol of formula units. As for the electronic total energy: -36.95 eV/cell.

# 9
Tl2Sb2Au3 after structural relaxation. Source: Alexandria via LeMat-Bulk, functional GGA-PBE.

abc: 6.8781 6.8781 6.9817
angles: 117.70 117.70 39.98
With the nearest neighbours (Å) after each atom.
Element x y z (fractional)
Tl1 0.1337 0.1337 0.2984  5 Au 2.99-3.21
Tl2 0.8663 0.8663 0.7016  5 Au 2.99-3.21
Sb1 0.3980 0.3980 0.2632  4 Au 2.74-2.97, 1 Sb 3.04
Sb2 0.6020 0.6020 0.7368  4 Au 2.74-2.97, 1 Sb 3.04
Au1 0.2235 0.2235 0.7836  3 Sb 2.76-2.97, 1 Tl 2.99
Au2 0.5000 0.5000 0.0000  2 Sb 2.74, 4 Tl 3.05
Au3 0.7765 0.7765 0.2164  3 Sb 2.76-2.97, 1 Tl 2.99

Results
Its formation energy from raw total energies is -60.5 kJ/mol of formula units. As for the electronic total energy: -23.44 eV/cell.

# 10
Tl3Sb4Au4 after structural relaxation. Source: Alexandria via LeMat-Bulk, functional GGA-PBE.

abc: 9.1700 9.1700 5.0085
angles: 105.83 105.83 45.64
With the nearest neighbours (Å) after each atom.
Element x y z (fractional)
Tl1 0.0000 0.0000 0.0000  6 Sb 3.27-3.50
Tl2 0.3758 0.3758 0.8761  6 Au 3.37-3.59, 6 Sb 3.52-3.59
Tl3 0.6242 0.6242 0.1239  6 Au 3.37-3.59, 6 Sb 3.52-3.59
Sb1 0.2168 0.2168 0.2177  6 Au 2.80-2.97
Sb2 0.2955 0.7045 0.5000  2 Au 2.85, 1 Sb 2.91
Sb3 0.7045 0.2955 0.5000  2 Au 2.85, 1 Sb 2.91
Sb4 0.7832 0.7832 0.7823  6 Au 2.80-2.97
Au1 0.0285 0.6287 0.3271  4 Sb 2.80-2.97, 1 Au 2.84
Au2 0.3713 0.9715 0.6729  4 Sb 2.80-2.97, 1 Au 2.84
Au3 0.6287 0.0285 0.3271  4 Sb 2.80-2.97, 1 Au 2.84
Au4 0.9715 0.3713 0.6729  4 Sb 2.80-2.97, 1 Au 2.84

Results
Its polymorph energy (0 for the lowest one) is 0.000 eV per atom. Its formation energy from raw total energies is -33.7 kJ/mol of formula units. As for the electronic total energy: -37.05 eV/cell.

# 11
Tl3Sb2Au4 after structural relaxation. Source: Alexandria via LeMat-Bulk, functional GGA-PBE.

abc: 6.7421 6.7421 9.2230
angles: 108.41 108.41 36.04
With the nearest neighbours (Å) after each atom.
Element x y z (fractional)
Tl1 0.0000 0.0000 0.0000  4 Au 3.09
Tl2 0.4077 0.4077 0.2969  5 Au 2.88-3.17
Tl3 0.5923 0.5923 0.7031  5 Au 2.88-3.17
Sb1 0.3153 0.3153 0.6718  4 Au 2.72-2.85
Sb2 0.6847 0.6847 0.3282  4 Au 2.72-2.85
Au1 0.0976 0.0976 0.4540  3 Sb 2.79-2.85, 1 Au 2.90, 2 Tl 3.12
Au2 0.3153 0.3153 0.9666  1 Sb 2.72, 2 Au 2.87, 1 Tl 2.88
Au3 0.6847 0.6847 0.0334  1 Sb 2.72, 2 Au 2.87, 1 Tl 2.88
Au4 0.9024 0.9024 0.5460  3 Sb 2.79-2.85, 1 Au 2.90, 2 Tl 3.12

Results
Its formation energy from raw total energies is -27.8 kJ/mol of formula units. As for the electronic total energy: -28.74 eV/cell.

# 12
Tl3Sb2Au4 after structural relaxation. Source: Alexandria via LeMat-Bulk, functional GGA-PBE.

abc: 8.3237 8.3237 7.9454
angles: 105.30 105.30 65.87
With the nearest neighbours (Å) after each atom.
Element x y z (fractional)
Tl1 0.0222 0.9778 0.7500  4 Au 3.14-3.39
Tl2 0.2880 0.5898 0.0410  5 Au 3.02-3.11, 1 Tl 3.22
Tl3 0.4102 0.7120 0.4590  5 Au 3.02-3.11, 1 Tl 3.22
Tl4 0.5898 0.2880 0.5410  5 Au 3.02-3.11, 1 Tl 3.22
Tl5 0.7120 0.4102 0.9590  5 Au 3.02-3.11, 1 Tl 3.22
Tl6 0.9778 0.0222 0.2500  4 Au 3.14-3.39
Sb1 0.0392 0.3727 0.6660  4 Au 2.71-2.96
Sb2 0.3727 0.0392 0.1660  4 Au 2.71-2.96
Sb3 0.6273 0.9608 0.8340  4 Au 2.71-2.96
Sb4 0.9608 0.6273 0.3340  4 Au 2.71-2.96
Au1 0.1104 0.3255 0.0384  2 Sb 2.71-2.96, 1 Au 2.86, 1 Tl 3.02
Au2 0.2297 0.5672 0.6380  2 Sb 2.77-2.82, 1 Au 2.84, 3 Tl 3.04-3.09
Au3 0.3255 0.1104 0.5384  2 Sb 2.71-2.96, 1 Au 2.86, 1 Tl 3.02
Au4 0.4328 0.7703 0.8620  2 Sb 2.77-2.82, 1 Au 2.84, 3 Tl 3.04-3.09
Au5 0.5672 0.2297 0.1380  2 Sb 2.77-2.82, 1 Au 2.84, 3 Tl 3.04-3.09
Au6 0.6745 0.8896 0.4616  2 Sb 2.71-2.96, 1 Au 2.86, 1 Tl 3.02
Au7 0.7703 0.4328 0.3620  2 Sb 2.77-2.82, 1 Au 2.84, 3 Tl 3.04-3.09
Au8 0.8896 0.6745 0.9616  2 Sb 2.71-2.96, 1 Au 2.86, 1 Tl 3.02

Results
Its formation energy from raw total energies is -27.5 kJ/mol of formula units. As for the electronic total energy: -57.48 eV/cell.

# 13
Tl4Sb2Au after structural relaxation. Source: Alexandria via LeMat-Bulk, functional GGA-PBE.

abc: 10.0146 10.0146 10.0146
angles: 30.80 30.80 30.80
With the nearest neighbours (Å) after each atom.
Element x y z (fractional)
Tl1 0.1289 0.1289 0.1289  3 Au 3.26, 3 Sb 3.48
Tl2 0.2905 0.2905 0.2905  4 Sb 3.18-3.27
Tl3 0.7095 0.7095 0.7095  4 Sb 3.18-3.27
Tl4 0.8711 0.8711 0.8711  3 Au 3.26, 3 Sb 3.48
Sb1 0.4050 0.4050 0.4050  1 Au 2.72
Sb2 0.5950 0.5950 0.5950  1 Au 2.72
Au1 0.5000 0.5000 0.5000  2 Sb 2.72

Results
Its formation energy from raw total energies is -5.2 kJ/mol of formula units. As for the electronic total energy: -21.04 eV/cell.

# 14
Tl2SbAu after structural relaxation. Source: Alexandria via LeMat-Bulk, functional GGA-PBE.

abc: 5.5592 5.5592 3.4839
angles: 90.00 90.00 90.00
With the nearest neighbours (Å) after each atom.
Element x y z (fractional)
Tl1 0.0000 0.5000 0.0000  4 Au 3.28, 4 Sb 3.28, 2 Tl 3.48
Tl2 0.5000 0.0000 0.0000  4 Au 3.28, 4 Sb 3.28, 2 Tl 3.48
Sb1 0.0000 0.0000 0.5000  8 Tl 3.28, 2 Sb 3.48
Au1 0.5000 0.5000 0.5000  8 Tl 3.28, 2 Au 3.48

Results
Its polymorph energy (0 for the lowest one) is 0.195 eV per atom. Its formation energy from raw total energies is 45.5 kJ/mol of formula units. As for the electronic total energy: -11.66 eV/cell.